# MgTeP2 | Alexandria | PBE | relaxed
# Relative energy among the computed polymorphs, eV/atom: 0.057
# E_tot, eV/atom: -3.98
# Uncorrected formation energy, eV per atom: -0.091
# Volume, Å³ per atom: 21.6
data_MgTeP2
_space_group_name_H-M_alt 'P 1 m 1'
_space_group_IT_number 6
_cell_length_a 4.8640
_cell_length_b 3.8302
_cell_length_c 4.9503
_cell_angle_alpha 90.00
_cell_angle_beta 110.78
_cell_angle_gamma 90.00
loop_
_space_group_symop_operation_xyz
'x,y,z'
'x,-y,z'
loop_
_atom_site_label
_atom_site_fract_x
_atom_site_fract_y
_atom_site_fract_z
Mg1 0.0000 0.0000 0.0000
Te1 0.7364 0.5000 0.2925
P1 0.2266 0.5000 0.7061
P2 0.4392 0.0000 0.5582